*w*
Below is crystalline Be2ZnHg at its relaxed geometry, with properties calculated at the PBE level.

Cell lengths 6.7242, 6.7242, 5.4443 Å; angles 90.00, 90.00, 90.00 degrees
Last column: nearest neighbours and their distance in Å.
Atoms (fractional coordinates):
1 Be 0.2390 0.7500 0.1250  2 Zn 2.42, 2 Hg 2.52
2 Be 0.2500 0.2390 0.8750  2 Zn 2.42, 2 Hg 2.52
3 Be 0.2500 0.2610 0.3750  2 Zn 2.42, 2 Hg 2.52
4 Be 0.2610 0.7500 0.6250  2 Zn 2.42, 2 Hg 2.52
5 Be 0.7390 0.2500 0.6250  2 Zn 2.42, 2 Hg 2.52
6 Be 0.7500 0.7390 0.3750  2 Zn 2.42, 2 Hg 2.52
7 Be 0.7500 0.7610 0.8750  2 Zn 2.42, 2 Hg 2.52
8 Be 0.7610 0.2500 0.1250  2 Zn 2.42, 2 Hg 2.52
9 Zn 0.0000 0.0000 0.0000  4 Be 2.42
10 Zn 0.0000 0.5000 0.2500  4 Be 2.42
11 Zn 0.5000 0.0000 0.7500  4 Be 2.42
12 Zn 0.5000 0.5000 0.5000  4 Be 2.42
13 Hg 0.0000 0.0000 0.5000  4 Be 2.52, 2 Zn 2.72
14 Hg 0.0000 0.5000 0.7500  4 Be 2.52, 2 Zn 2.72
15 Hg 0.5000 0.0000 0.2500  4 Be 2.52, 2 Zn 2.72
16 Hg 0.5000 0.5000 0.0000  4 Be 2.52, 2 Zn 2.72

Calculated values
SG	I-42d
size of the total moment	0.0	μB per formula unit
V	15.4	A^3/atom

---

*x*
Below is crystalline Be2ZnHg at its relaxed geometry, with properties calculated at the PBE level.

Cell lengths 3.0281, 3.0281, 5.9498 Å; angles 90.00, 90.00, 90.00 degrees
Last column: nearest neighbours and their distance in Å.
Atoms (fractional coordinates):
1 Be 0.0000 0.0000 0.0000  4 Be 2.36, 4 Zn 2.52, 1 Hg 2.62
2 Be 0.5000 0.5000 0.1675  1 Zn 2.32, 4 Be 2.36
3 Zn 0.5000 0.5000 0.7781  5 Be 2.32-2.52
4 Hg 0.0000 0.0000 0.4404  5 Be 2.62-2.69

Calculated values
SG	P4mm
size of the total moment	0.0	μB per formula unit
V	13.6	A^3/atom

---

The least stable of the structures above is *w*, whereas *x* is the most stable.